1.
{
  "formula": "TaTlIr3",
  "functional": "GGA-PBE",
  "state": "relaxed",
  "cell": [[-2.8460, 3.5141, -1.6891], [-3.3957, -3.2616, -1.0642], [-1.9160, 0.5608, 4.3950]],
  "species": ["Tl", "Ir", "Ir", "Ir", "Ta"],
  "frac_coords": [[0.0000, 0.0000, 0.0000], [0.0000, 0.5000, 0.0000], [0.0000, 0.0000, 0.5000], [0.5000, 0.0000, 0.0000], [0.5000, 0.5000, 0.5000]],
  "magmom_total_mub_per_cell": 0.0,
  "e_tot_ev_per_fu": -28.7
}

2.
{
  "formula": "TaTl2Ir",
  "functional": "GGA-PBE",
  "state": "relaxed",
  "cell": [[0.0000, 3.3963, 3.3963], [3.3963, 0.0000, 3.3963], [3.3963, 3.3963, 0.0000]],
  "species": ["Tl", "Tl", "Ir", "Ta"],
  "frac_coords": [[0.2500, 0.2500, 0.2500], [0.7500, 0.7500, 0.7500], [0.5000, 0.5000, 0.5000], [0.0000, 0.0000, 0.0000]],
  "magmom_total_mub_per_cell": 1.6,
  "e_tot_ev_per_fu": -22.2
}

3.
{
  "formula": "TaTl2Ir",
  "functional": "GGA-PBE",
  "state": "relaxed",
  "cell": [[6.3976, 0.0669, -0.0063], [3.6455, 5.2578, 0.0063], [-4.4847, -3.6751, 2.7048]],
  "species": ["Ir", "Ta", "Tl", "Tl"],
  "frac_coords": [[0.5431, 0.5431, 0.0000], [0.7059, 0.2059, 0.5000], [0.9811, 0.9811, 0.0000], [0.2698, 0.7698, 0.5000]],
  "magmom_total_mub_per_cell": 0.0,
  "e_tot_ev_per_fu": -23.8
}

4.
{
  "formula": "TaTlIr2",
  "functional": "GGA-PBE",
  "state": "relaxed",
  "cell": [[2.9372, 0.0085, 0.0000], [-0.0108, 2.9372, 0.0000], [0.0000, 0.0000, 8.0552]],
  "species": ["Ir", "Ir", "Ta", "Tl"],
  "frac_coords": [[0.0000, 0.0000, 0.0142], [0.5000, 0.5000, 0.2499], [0.0000, 0.0000, 0.4714], [0.5000, 0.5000, 0.7645]],
  "magmom_total_mub_per_cell": 0.0,
  "e_tot_ev_per_fu": -30.8
}

5.
{
  "formula": "TaTl2Ir",
  "functional": "GGA-PBE",
  "state": "relaxed",
  "cell": [[-0.8419, -0.4474, 2.8989], [4.7623, -1.9503, 1.0821], [1.6115, 4.5876, 1.1761]],
  "species": ["Ir", "Ta", "Tl", "Tl"],
  "frac_coords": [[0.5000, 0.0000, 0.5000], [0.0000, 0.5000, 0.5000], [0.0000, 0.0000, 0.0000], [0.5000, 0.5000, 0.0000]],
  "magmom_total_mub_per_cell": 0.0,
  "e_tot_ev_per_fu": -23.0
}

6.
{
  "formula": "TaTl2Ir",
  "functional": "GGA-PBE",
  "state": "relaxed",
  "cell": [[4.8432, 0.0000, 0.0000], [2.4216, 4.1943, 0.0000], [2.4216, 1.3981, 3.9545]],
  "species": ["Ir", "Ta", "Tl", "Tl"],
  "frac_coords": [[0.5000, 0.5000, 0.5000], [0.7500, 0.7500, 0.7500], [0.0000, 0.0000, 0.0000], [0.2500, 0.2500, 0.2500]],
  "magmom_total_mub_per_cell": 0.0,
  "e_tot_ev_per_fu": -23.0
}

no.,ΔH_f (0 K) (eV per formula unit)
1,12.1
2,3.2
3,1.7
4,1.2
5,2.4
6,2.5